--- one ---
Below is a relaxed structure of NaPm2Zr, with properties calculated at the GGA-PBE level.

Output
The magnetic moment comes out at 0.000 μB per formula unit. The space group is No. 166. The mass density comes out at 5250 kg/m3.

Geometry as POSCAR:
```
NaPm2Zr
1.0
-3.271 -1.063 0.174
-0.784 -3.281 -0.693
0.234 -4.362 11.822
Pm Zr Na
2 1 1
Direct
0.905 0.905 0.286
0.095 0.095 0.714
0.500 0.500 0.500
0.000 0.000 0.000
```

***

--- two ---
Below is a relaxed structure of NaPm2Zr, with properties calculated at the GGA-PBE level.

Output
The magnetic moment comes out at 0.000 μB per formula unit. The space group is No. 123. The mass density comes out at 5338 kg/m3.

Geometry as POSCAR:
```
NaPm2Zr
1.0
-2.961 -1.129 1.358
1.743 -1.445 2.600
-0.866 8.960 5.559
Pm Na Zr
2 1 1
Direct
0.000 0.000 0.218
0.000 0.000 0.782
0.500 0.500 0.500
0.500 0.500 0.000
```

***

Most stable pick: two. Distance to second place: 0.047 eV/atom.